PBE Ba3CaCr, relaxed; DFT formation energy = 0.474 eV per atom; V = 268 Å³/cell; total moment = 3.84 μB per cell; space group = No. 221; excess energy over the best structure of this formula in the dataset = 0 meV per atom; electronic total energy = -3.004 eV per atom
1.0
6.448 0.000 0.000
0.000 6.448 0.000
0.000 0.000 6.448
Ba Ca Cr
3 1 1
direct
0.000 0.000 0.500 Ba
0.000 0.500 0.000 Ba
0.500 0.000 0.000 Ba
0.500 0.500 0.500 Ca
0.000 0.000 0.000 Cr

PBE BaCa2Cr, relaxed; DFT formation energy = 0.444 eV per atom; V = 154 Å³/cell; total moment = 4.38 μB per cell; space group = No. 44; excess energy over the best structure of this formula in the dataset = 58 meV per atom; electronic total energy = -3.443 eV per atom
1.0
-2.153 3.035 5.881
2.153 -3.035 5.881
2.153 3.035 -5.881
Ba Ca Cr
1 2 1
direct
0.000 0.000 0.000 Ba
0.289 0.789 0.500 Ca
0.574 0.574 0.000 Ca
0.772 0.272 0.500 Cr